First-principles (PBE) data for a geometry-optimized Li4Dy3NpS8 structure, as listed in Alexandria.

Cell lengths 7.847, 7.662, 7.846 Å; angles 120.82, 120.00, 90.00 degrees
Site moments in Bohr magnetons follow the coordinates.
Atoms (fractional coordinates):
Dy1 0.000 0.500 0.500  0.05
Dy2 0.500 0.500 0.000  0.05
Dy3 0.500 0.500 0.500  0.05
Li1 0.000 0.000 0.000  0.00
S1 0.748 0.249 0.497  -0.03
S2 0.252 0.249 0.000  -0.03
S3 0.750 0.751 0.501  0.00
S4 0.748 0.249 0.000  -0.03
S5 0.250 0.249 0.499  0.00
Np1 0.000 0.500 0.000  3.76
S6 0.252 0.751 0.503  -0.03
S7 0.748 0.751 0.000  -0.03
S8 0.252 0.751 0.000  -0.03
Li2 0.500 0.000 0.500  0.00
Li3 0.500 0.000 0.000  0.00
Li4 0.000 0.000 0.500  0.00

Computed properties:
- raw formation energy (meV per atom) = -1713

=====

First-principles (PBE) data for a geometry-optimized BeAl2IrW structure, as listed in Alexandria.

Cell lengths 4.285, 3.959, 4.285 Å; angles 90.00, 90.00, 90.00 degrees
Site moments in Bohr magnetons follow the coordinates.
Atoms (fractional coordinates):
W1 0.500 0.500 0.500  0.83
Ir1 0.000 0.500 0.000  0.05
Al1 0.000 0.000 0.500  -0.01
Al2 0.500 0.000 0.000  -0.01
Be1 0.000 0.000 0.000  0.02

Computed properties:
- E_form (eV per formula unit) = 2.62

=====

First-principles (PBE) data for a geometry-optimized Pr6Si2I3F structure, as listed in Alexandria.

Cell lengths 7.308, 7.308, 8.190 Å; angles 98.59, 98.59, 120.10 degrees
Atoms (fractional coordinates):
Pr1 0.734 0.734 0.194
I1 0.500 0.500 0.500
I2 0.173 0.827 0.500
F1 0.000 0.000 0.000
Pr2 0.266 0.266 0.806
Pr3 0.937 0.604 0.807
Pr4 0.396 0.063 0.193
Si1 0.334 0.666 0.000
I3 0.827 0.173 0.500
Pr5 0.063 0.396 0.193
Si2 0.666 0.334 0.000
Pr6 0.604 0.937 0.807

Computed properties:
- raw formation energy (meV per atom) = -1141

=====

First-principles (PBE) data for a geometry-optimized Pr2BeZnPt6 structure, as listed in Alexandria.

Cell lengths 5.721, 7.501, 7.501 Å; angles 44.84, 67.58, 90.00 degrees
Atoms (fractional coordinates):
Be1 0.500 0.500 0.000
Zn1 0.000 0.000 0.000
Pt1 0.223 0.260 0.037
Pt2 0.740 0.777 0.520
Pt3 0.260 0.223 0.480
Pt4 0.260 0.740 0.963
Pt5 0.740 0.260 0.037
Pt6 0.777 0.740 0.963
Pr1 0.288 0.712 0.423
Pr2 0.712 0.288 0.577

Computed properties:
- E_form (eV per formula unit) = -7.91

=====

In order of appearance, total magnetization = 4.004 1.083 0.000 0.000 μB/cell.
In order of appearance, ρ = 5.09 10.03 5.98 13.28 g cm⁻³.